Record 1
VASP calculation (GGA-PBE) on an optimized crystal structure of KBe2Cd.

Structure (CIF):
```
data_KBe2Cd
_cell_length_a 6.679
_cell_length_b 9.266
_cell_length_c 2.692
_cell_angle_alpha 90.00
_cell_angle_beta 90.00
_cell_angle_gamma 90.00
_space_group_name_H-M_alt 'C m m m'
_space_group_IT_number 65
_space_group_name_Hall '-C 2 2'
loop_
_atom_site_label
_atom_site_fract_x
_atom_site_fract_y
_atom_site_fract_z
K1 0.000 0.000 0.000
Be1 0.250 0.250 0.500
Cd1 0.000 0.500 0.000
```

Values from the calculation:
Its calculated formation energy is 1.042 eV/atom.

***

Record 2
VASP calculation (GGA-PBE) on an optimized crystal structure of KAg2SeO4.

Structure (CIF):
```
data_KAg2SeO4
_cell_length_a 10.040
_cell_length_b 9.304
_cell_length_c 7.368
_cell_angle_alpha 90.00
_cell_angle_beta 131.75
_cell_angle_gamma 90.00
_space_group_name_H-M_alt 'C 1 2/c 1'
_space_group_IT_number 15
_space_group_name_Hall '-C 2yc'
loop_
_atom_site_label
_atom_site_fract_x
_atom_site_fract_y
_atom_site_fract_z
K1 0.000 0.000 0.000
Ag1 0.000 0.500 0.000
Ag2 0.250 0.250 0.000
Se1 0.250 0.250 0.500
O1 0.135 0.288 0.157
O2 0.224 0.443 0.533
```

Values from the calculation:
The value obtained for the formation energy without anion corrections is -0.434 eV per atom.

***

Record 3
VASP calculation (GGA-PBE) on an optimized crystal structure of Na6Sn2Se7.

Structure (CIF):
```
data_Na6Sn2Se7
_cell_length_a 9.801
_cell_length_b 11.348
_cell_length_c 16.180
_cell_angle_alpha 90.00
_cell_angle_beta 104.33
_cell_angle_gamma 90.00
_space_group_name_H-M_alt 'C 1 2/c 1'
_space_group_IT_number 15
_space_group_name_Hall '-C 2yc'
loop_
_atom_site_label
_atom_site_fract_x
_atom_site_fract_y
_atom_site_fract_z
Na1 0.000 0.000 0.000
Na2 0.000 0.073 0.250
Na3 0.104 0.354 0.571
Na4 0.229 0.229 0.861
Sn1 0.160 0.413 0.363
Se1 0.000 0.452 0.750
Se2 0.042 0.227 0.398
Se3 0.115 0.136 0.681
Se4 0.202 0.434 0.982
```

Values from the calculation:
The value obtained for the formation energy without anion corrections is -0.865 eV per atom.

***

Record 4
VASP calculation (GGA-PBE) on an optimized crystal structure of SrMnBe2.

Structure (CIF):
```
data_SrMnBe2
_cell_length_a 4.513
_cell_length_b 4.513
_cell_length_c 16.105
_cell_angle_alpha 90.00
_cell_angle_beta 90.00
_cell_angle_gamma 90.00
_space_group_name_H-M_alt 'I 41/a m d'
_space_group_IT_number 141
loop_
_space_group_symop_operation_xyz
'x,y,z'
'-x,-y,-z'
'-y+1/4,x+3/4,z+1/4'
'y+1/4,-x+3/4,-z+1/4'
'-x+1/2,-y,z+1/2'
'x+1/2,y,-z+1/2'
'y+1/4,-x+1/4,z+3/4'
'-y+1/4,x+1/4,-z+3/4'
'x,-y,-z'
'-x,y,z'
'-y+1/4,-x+1/4,-z+3/4'
'y+1/4,x+1/4,z+3/4'
'-x+1/2,y,-z+1/2'
'x+1/2,-y,z+1/2'
'y+1/4,x+3/4,-z+1/4'
'-y+1/4,-x+3/4,z+1/4'
'x+1/2,y+1/2,z+1/2'
'-x+1/2,-y+1/2,-z+1/2'
'-y+3/4,x+1/4,z+3/4'
'y+3/4,-x+1/4,-z+3/4'
'-x,-y+1/2,z'
'x,y+1/2,-z'
'y+3/4,-x+3/4,z+1/4'
'-y+3/4,x+3/4,-z+1/4'
'x+1/2,-y+1/2,-z+1/2'
'-x+1/2,y+1/2,z+1/2'
'-y+3/4,-x+3/4,-z+1/4'
'y+3/4,x+3/4,z+1/4'
'-x,y+1/2,-z'
'x,-y+1/2,z'
'y+3/4,x+1/4,-z+3/4'
'-y+3/4,-x+1/4,z+3/4'
loop_
_atom_site_label
_atom_site_fract_x
_atom_site_fract_y
_atom_site_fract_z
Sr1 0.000 0.250 0.375
Mn1 0.000 0.250 0.875
Be1 0.000 0.000 0.000
```

Values from the calculation:
Its calculated formation energy is 0.594 eV/atom. As for the offset from the most stable computed form: 362 meV/atom.

***

Record 5
VASP calculation (GGA-PBE) on an optimized crystal structure of TbPmSc2Hg4.

Structure (CIF):
```
data_TbPmSc2Hg4
_cell_length_a 5.1676
_cell_length_b 5.1676
_cell_length_c 25.3920
_cell_angle_alpha 90.00
_cell_angle_beta 90.00
_cell_angle_gamma 120.00
_space_group_name_H-M_alt 'R -3 m'
_space_group_IT_number 166
_space_group_name_Hall '-R 3 2"'
loop_
_atom_site_label
_atom_site_fract_x
_atom_site_fract_y
_atom_site_fract_z
Tb1 0.0000 0.0000 0.0000
Pm1 0.0000 0.0000 0.5000
Sc1 0.0000 0.0000 0.2503
Hg1 0.0000 0.0000 0.1231
Hg2 0.0000 0.0000 0.3734
```

Values from the calculation:
Its calculated formation energy is -0.438 eV/atom.

***

Record 6
VASP calculation (GGA-PBE) on an optimized crystal structure of Sm4Ge8Rh.

Structure (CIF):
```
data_Sm4Ge8Rh
_cell_length_a 4.078
_cell_length_b 4.208
_cell_length_c 16.557
_cell_angle_alpha 90.00
_cell_angle_beta 90.00
_cell_angle_gamma 90.00
_space_group_name_H-M_alt 'P m m 2'
_space_group_IT_number 25
_space_group_name_Hall 'P 2 -2'
loop_
_atom_site_label
_atom_site_fract_x
_atom_site_fract_y
_atom_site_fract_z
Sm1 0.000 0.000 0.000
Sm2 0.000 0.500 0.492
Sm3 0.500 0.000 0.790
Sm4 0.500 0.500 0.286
Ge1 0.000 0.000 0.337
Ge2 0.000 0.000 0.627
Ge3 0.000 0.500 0.141
Ge4 0.000 0.500 0.854
Ge5 0.500 0.000 0.146
Ge6 0.500 0.000 0.437
Ge7 0.500 0.500 0.626
Ge8 0.500 0.500 0.951
Rh1 0.000 0.500 0.706
```

Values from the calculation:
Its calculated formation energy is -0.666 eV/atom.

***

no.,DFT total energy (eV/atom)
1,-1.324
2,-4.199
3,-3.553
4,-3.982
5,-3.344
6,-5.525